VASP calculation (PBE-GGA) on a relaxed Tb2PrYTm5 crystal.

The calculation puts the magnetization at 0.000 μB per formula unit.

It has space group I4/mcm (No. 140), with a = 8.856 Å, b = 8.856 Å, c = 14.702 Å, α = 90.00°, β = 90.00° and γ = 90.00°. Symmetry generates all atoms from Tb at (0.113, 0.387, 0.000), Pr at (0.000, 0.000, 0.250), Y at (0.000, 0.500, 0.250), Tm at (0.000, 0.000, 0.000) and Tm at (0.207, 0.293, 0.368).

VASP calculation (PBE-GGA) on a relaxed Tb2Pr2Y2Tm crystal.

The calculation puts the magnetization at 0.000 μB per formula unit.

It has space group C2/m (No. 12), with a = 11.816 Å, b = 3.533 Å, c = 11.881 Å, α = 90.00°, β = 108.76° and γ = 90.00°. Symmetry generates all atoms from Tb at (0.229, 0.000, 0.366), Pr at (0.173, 0.500, 0.087), Y at (0.048, 0.500, 0.769) and Tm at (0.000, 0.000, 0.500).

VASP calculation (PBE-GGA) on a relaxed TbPrY6Tm2 crystal.

The calculation puts the magnetization at 0.000 μB per formula unit.

It has space group C2/c (No. 15), with a = 9.185 Å, b = 14.929 Å, c = 9.640 Å, α = 90.00°, β = 98.15° and γ = 90.00°. Symmetry generates all atoms from Tb at (0.000, 0.027, 0.250), Pr at (0.000, 0.406, 0.750), Y at (0.064, 0.181, 0.944), Y at (0.098, 0.393, 0.118), Y at (0.204, 0.225, 0.319) and Tm at (0.243, 0.050, 0.548).

VASP calculation (PBE-GGA) on a relaxed Tb2PrY5Tm crystal.

The calculation puts the magnetization at 0.000 μB per formula unit.

It has space group I4/mcm (No. 140), with a = 8.943 Å, b = 8.943 Å, c = 14.853 Å, α = 90.00°, β = 90.00° and γ = 90.00°. Symmetry generates all atoms from Tb at (0.113, 0.387, 0.000), Pr at (0.000, 0.000, 0.250), Y at (0.000, 0.000, 0.000), Y at (0.206, 0.294, 0.367) and Tm at (0.000, 0.500, 0.250).

VASP calculation (PBE-GGA) on a relaxed Tb2PrYTm2 crystal.

The calculation puts the magnetization at 0.001 μB per formula unit.

It has space group Pnnm (No. 58), with a = 6.942 Å, b = 16.130 Å, c = 3.524 Å, α = 90.00°, β = 90.00° and γ = 90.00°. Symmetry generates all atoms from Tb at (0.249, 0.160, 0.000), Pr at (0.000, 0.500, 0.000), Y at (0.000, 0.000, 0.500) and Tm at (0.249, 0.345, 0.500).

VASP calculation (PBE-GGA) on a relaxed TbPrY5Tm2 crystal.

The calculation puts the magnetization at 0.000 μB per formula unit.

It has space group Cmc2_1 (No. 36), with a = 5.636 Å, b = 20.196 Å, c = 10.475 Å, α = 90.00°, β = 90.00° and γ = 90.00°. Symmetry generates all atoms from Tb at (0.000, 0.087, 0.000), Pr at (0.000, 0.303, 0.569), Y at (0.000, 0.023, 0.290), Y at (0.000, 0.109, 0.579), Y at (0.000, 0.199, 0.259), Y at (0.000, 0.222, 0.868), Y at (0.000, 0.484, 0.576), Tm at (0.000, 0.387, 0.873) and Tm at (0.000, 0.389, 0.288).

VASP calculation (PBE-GGA) on a relaxed Tb2Pr3Y6Tm crystal.

The calculation puts the magnetization at 0.000 μB per formula unit.

It has space group C2/m (No. 12), with a = 6.243 Å, b = 10.808 Å, c = 11.881 Å, α = 90.00°, β = 100.05° and γ = 90.00°. Symmetry generates all atoms from Tb at (0.000, 0.167, 0.000), Pr at (0.000, 0.000, 0.500), Pr at (0.000, 0.333, 0.500), Y at (0.248, 0.334, 0.246), Y at (0.249, 0.000, 0.246) and Tm at (0.000, 0.500, 0.000).

VASP calculation (PBE-GGA) on a relaxed TbPr2YTm2 crystal.

The calculation puts the magnetization at 0.000 μB per formula unit.

It has space group Pmma (No. 51), with a = 7.055 Å, b = 5.670 Å, c = 9.816 Å, α = 90.00°, β = 90.00° and γ = 90.00°. Symmetry generates all atoms from Tb at (0.250, 0.000, 0.160), Pr at (0.000, 0.000, 0.500), Pr at (0.250, 0.500, 0.677), Y at (0.000, 0.500, 0.000), Tm at (0.250, 0.000, 0.833) and Tm at (0.250, 0.500, 0.336).

Number 1: Fermi-level density of states 1.21 states/eV/atom, ΔH_f (0 K) 0.280 eV per atom. Number 2: Fermi-level density of states 1.64 states/eV/atom, ΔH_f (0 K) 0.084 eV per atom. Number 3: Fermi-level density of states 1.55 states/eV/atom, ΔH_f (0 K) 0.122 eV per atom. Number 4: Fermi-level density of states 1.31 states/eV/atom, ΔH_f (0 K) 0.273 eV per atom. Number 5: Fermi-level density of states 1.54 states/eV/atom, ΔH_f (0 K) 0.169 eV per atom. Number 6: Fermi-level density of states 1.70 states/eV/atom, ΔH_f (0 K) 0.159 eV per atom. Number 7: Fermi-level density of states 1.39 states/eV/atom, ΔH_f (0 K) 0.019 eV per atom. Number 8: Fermi-level density of states 1.60 states/eV/atom, ΔH_f (0 K) 0.066 eV per atom.